(1)
A plane-wave DFT calculation with meta-GGA SCAN was carried out for a PBEsol-optimized structure of InAuSe2.

Output
- Formation energy from raw total energies: 0.309 eV per atom
- Magnetic moment: 0.0 μB/f.u.
- Symmetry: P4/mmm (123)

Structure (POSCAR):
```
InAuSe2
1.0
-0.153 -0.056 3.337
-3.078 -1.287 -0.163
2.839 -6.790 0.016
Se Au In
2 1 1
direct
0.000 0.000 0.766
0.000 0.000 0.234
0.500 0.500 0.000
0.500 0.500 0.500
```

(2)
A plane-wave DFT calculation with meta-GGA SCAN was carried out for a PBEsol-optimized structure of InAuSe2.

Output
- Formation energy from raw total energies: -0.436 eV per atom
- Magnetic moment: 0.0 μB/f.u.
- Symmetry: I-42m (121)

Structure (POSCAR):
```
InAuSe2
1.0
5.758 0.000 0.000
0.000 5.758 0.000
-2.879 -2.879 6.597
Se In Au
4 2 2
direct
0.421 0.421 0.250
0.171 0.579 0.750
0.829 0.829 0.250
0.579 0.171 0.750
0.750 0.250 0.500
0.250 0.750 0.500
0.107 0.107 0.215
0.893 0.893 0.785
```

(3)
A plane-wave DFT calculation with meta-GGA SCAN was carried out for a PBEsol-optimized structure of InAuSe.

Output
- Formation energy from raw total energies: 0.019 eV per atom
- Magnetic moment: 0.0 μB/f.u.
- Symmetry: I4mm (107)

Structure (POSCAR):
```
InAuSe
1.0
-3.402 -0.031 -1.923
1.729 -1.759 -3.031
-0.059 -2.821 4.122
Au Se In
1 1 1
direct
0.994 0.994 0.988
0.674 0.674 0.349
0.331 0.331 0.663
```